Computed, not measured: TeCl2 at its PBEsol-relaxed geometry at the meta-GGA SCAN level of DFT. Values from VASP.

calculated total energy	-52.91	eV for the cell shown
formation energy from raw total energies	0.0982	eV/atom
symmetry	I4/mmm, No. 139
total magnetization	0.0006	μB/atom

Geometry as Quantum ESPRESSO input:
```
&SYSTEM
  ibrav = 0, nat = 3, ntyp = 2
/
ATOMIC_SPECIES
Te 127.60 Te.upf
Cl 35.45 Cl.upf
ATOMIC_POSITIONS angstrom
Te 0.000 0.000 0.000
Cl 0.000 0.000 4.584
Cl 0.000 0.000 8.466
CELL_PARAMETERS angstrom
-1.610 1.610 6.525
1.610 -1.610 6.525
1.610 1.610 -6.525
```